Entry 1:
Below is a relaxed structure of Li2ReSi, with properties calculated at the PBE level.

Geometry as POSCAR:
```
Li2ReSi
1.0
1.427 0.824 8.938
-1.427 0.824 8.938
0.000 -1.648 8.938
Li Re Si
2 1 1
Direct
0.000 0.000 0.000
0.236 0.236 0.236
0.752 0.752 0.752
0.488 0.488 0.488
```

Calculated values
- Space group: No. 160
- Formation energy without anion corrections: 8.17 kJ per mole of atoms

---

Entry 2:
Below is a relaxed structure of AsP2Ir, with properties calculated at the PBE level.

Geometry as POSCAR:
```
AsP2Ir
1.0
2.831 0.000 0.000
0.000 2.831 0.000
0.000 0.000 8.187
As P Ir
1 2 1
Direct
0.000 0.000 0.000
0.500 0.500 0.303
0.500 0.500 0.697
0.000 0.000 0.500
```

Calculated values
- Space group: No. 123
- Energy of formation: 0.276 eV per atom

---

Entry 3:
Below is a relaxed structure of Cs2PmCuBr6, with properties calculated at the PBE level.

Geometry as POSCAR:
```
Cs2PmCuBr6
1.0
-4.189 4.189 5.258
4.189 -4.189 5.258
4.189 4.189 -5.258
Cs Pm Cu Br
2 1 1 6
Direct
0.250 0.750 0.500
0.750 0.250 0.500
0.000 0.000 0.000
0.500 0.500 0.000
0.242 0.242 0.484
0.242 0.758 0.000
0.275 0.275 0.000
0.725 0.725 0.000
0.758 0.242 0.000
0.758 0.758 0.516
```

Calculated values
- Space group: No. 139
- Formation energy without anion corrections: -146.31 kJ per mole of atoms

---

Entry 4:
Below is a relaxed structure of CaNdYAl, with properties calculated at the PBE level.

Geometry as POSCAR:
```
CaNdYAl
1.0
0.000 3.862 3.862
3.862 0.000 3.862
3.862 3.862 0.000
Ca Nd Y Al
1 1 1 1
Direct
0.000 0.000 0.000
0.250 0.250 0.250
0.750 0.750 0.750
0.500 0.500 0.500
```

Calculated values
- Space group: No. 216
- Energy of formation: -0.080 eV per atom

---

Entry 5:
Below is a relaxed structure of LaTlI2N, with properties calculated at the PBE level.

Geometry as POSCAR:
```
LaTlI2N
1.0
6.602 0.000 0.000
0.000 6.602 0.000
0.000 0.000 4.219
La Tl I N
1 1 2 1
Direct
0.000 0.000 0.000
0.500 0.500 0.500
0.000 0.500 0.000
0.500 0.000 0.000
0.000 0.000 0.500
```

Calculated values
- Space group: No. 123
- Formation energy without anion corrections: -60.51 kJ per mole of atoms

---

Entry 6:
Below is a relaxed structure of CsAs2Pd, with properties calculated at the PBE level.

Geometry as POSCAR:
```
CsAs2Pd
1.0
0.000 3.631 3.631
3.631 0.000 3.631
3.631 3.631 0.000
Cs As Pd
1 2 1
Direct
0.000 0.000 0.000
0.250 0.250 0.250
0.750 0.750 0.750
0.500 0.500 0.500
```

Calculated values
- Space group: No. 225
- Energy of formation: 0.545 eV per atom